Entry 1:
DFT (PBE) results for an optimized crystal structure of ZrGeN.

Values from the calculation:
* formation energy (no corrections): -0.603 eV/atom
* theoretical density: 6.006 Mg/m³
* energy relative to the lowest polymorph listed for this composition: 31.9 kJ/mol of atoms
* density of states at the Fermi level: 1.770 states/eV per cell

Cell: 3.373 3.373 4.989 Å, 90.00 90.00 120.00°
Atoms (fractional coordinates):
Zr 0.000 0.000 0.000
Ge 0.333 0.667 0.581
N 0.333 0.667 0.204

---

Entry 2:
DFT (PBE) results for an optimized crystal structure of ZrGe3N.

Values from the calculation:
* formation energy (no corrections): 1.446 eV/atom
* theoretical density: 3.754 Mg/m³
* energy relative to the lowest polymorph listed for this composition: 104.9 kJ/mol of atoms
* density of states at the Fermi level: 1.890 states/eV per cell

Cell: 5.228 5.228 5.228 Å, 90.00 90.00 90.00°
Atoms (fractional coordinates):
Zr 0.000 0.000 0.000
Ge 0.000 0.000 0.500
Ge 0.000 0.500 0.000
Ge 0.500 0.000 0.000
N 0.500 0.500 0.500

---

Entry 3:
DFT (PBE) results for an optimized crystal structure of NaGe2.

Values from the calculation:
* theoretical density: 3.848 Mg/m³
* energy relative to the lowest polymorph listed for this composition: 1.3 kJ/mol of atoms
* density of states at the Fermi level: 1.808 states/eV per cell

Cell: 5.184 4.064 6.912 Å, 90.00 94.13 90.00°
Atoms (fractional coordinates):
Na 0.001 0.250 0.238
Na 0.999 0.750 0.762
Ge 0.373 0.750 0.436
Ge 0.468 0.250 0.900
Ge 0.532 0.750 0.100
Ge 0.627 0.250 0.564

---

Entry 4:
DFT (PBE) results for an optimized crystal structure of Na2Ge.

Values from the calculation:
* theoretical density: 2.443 Mg/m³
* energy relative to the lowest polymorph listed for this composition: 3.6 kJ/mol of atoms
* density of states at the Fermi level: 2.219 states/eV per cell

Cell: 6.009 6.009 6.009 Å, 103.74 103.74 121.68°
Atoms (fractional coordinates):
Na 0.176 0.676 0.851
Na 0.324 0.176 0.500
Na 0.676 0.824 0.500
Na 0.824 0.324 0.149
Ge 0.250 0.250 0.000
Ge 0.750 0.750 0.000

---

Entry 5:
DFT (PBE) results for an optimized crystal structure of NaGe2.

Values from the calculation:
* theoretical density: 3.808 Mg/m³
* energy relative to the lowest polymorph listed for this composition: 0.9 kJ/mol of atoms
* density of states at the Fermi level: 0.819 states/eV per cell

Cell: 5.660 5.660 5.660 Å, 41.97 41.97 41.97°
Atoms (fractional coordinates):
Na 0.000 0.000 0.000
Ge 0.203 0.203 0.203
Ge 0.476 0.476 0.476

---

Entry 6:
DFT (PBE) results for an optimized crystal structure of NaGe2.

Values from the calculation:
* theoretical density: 4.269 Mg/m³
* energy relative to the lowest polymorph listed for this composition: 0.0 kJ/mol of atoms
* density of states at the Fermi level: 2.414 states/eV per cell

Cell: 5.730 5.730 5.730 Å, 129.40 104.67 96.43°
Atoms (fractional coordinates):
Na 0.312 0.062 0.250
Na 0.688 0.938 0.750
Ge 0.097 0.662 0.434
Ge 0.272 0.338 0.934
Ge 0.728 0.662 0.066
Ge 0.903 0.338 0.566

---

Entry 7:
DFT (PBE) results for an optimized crystal structure of NaGe2.

Values from the calculation:
* theoretical density: 4.282 Mg/m³
* energy relative to the lowest polymorph listed for this composition: 8.4 kJ/mol of atoms
* density of states at the Fermi level: 1.045 states/eV per cell

Cell: 6.095 6.095 6.095 Å, 147.46 147.46 46.68°
Atoms (fractional coordinates):
Na 0.000 0.000 0.000
Ge 0.307 0.307 0.000
Ge 0.693 0.693 0.000

---

Entry 8:
DFT (PBE) results for an optimized crystal structure of NaGe2.

Values from the calculation:
* theoretical density: 4.250 Mg/m³
* energy relative to the lowest polymorph listed for this composition: 1.5 kJ/mol of atoms
* density of states at the Fermi level: 1.286 states/eV per cell

Cell: 5.931 5.931 7.220 Å, 125.64 125.64 41.44°
Atoms (fractional coordinates):
Na 0.000 0.000 0.000
Na 0.553 0.553 0.394
Ge 0.258 0.258 0.856
Ge 0.316 0.316 0.540
Ge 0.622 0.622 0.859
Ge 0.820 0.820 0.325

---

Entry 9:
DFT (PBE) results for an optimized crystal structure of NaGe2.

Values from the calculation:
* theoretical density: 4.276 Mg/m³
* energy relative to the lowest polymorph listed for this composition: 10.0 kJ/mol of atoms
* density of states at the Fermi level: 6.620 states/eV per cell

Cell: 5.696 5.696 5.696 Å, 60.00 60.00 60.00°
Atoms (fractional coordinates):
Na 0.125 0.125 0.125
Na 0.875 0.875 0.875
Ge 0.000 0.500 0.500
Ge 0.500 0.000 0.500
Ge 0.500 0.500 0.000
Ge 0.500 0.500 0.500

---

Entry 10:
DFT (PBE) results for an optimized crystal structure of NaGe2.

Values from the calculation:
* theoretical density: 3.925 Mg/m³
* energy relative to the lowest polymorph listed for this composition: 1.3 kJ/mol of atoms
* density of states at the Fermi level: 2.259 states/eV per cell

Cell: 4.554 4.554 6.866 Å, 90.00 90.00 90.00°
Atoms (fractional coordinates):
Na 0.250 0.250 0.155
Na 0.750 0.750 0.845
Ge 0.250 0.250 0.708
Ge 0.250 0.750 0.500
Ge 0.750 0.250 0.500
Ge 0.750 0.750 0.292

---

Entry 11:
DFT (PBE) results for an optimized crystal structure of Na4Ge.

Values from the calculation:
* theoretical density: 1.560 Mg/m³
* energy relative to the lowest polymorph listed for this composition: 0.0 kJ/mol of atoms
* density of states at the Fermi level: 12.057 states/eV per cell

Cell: 11.008 11.008 11.021 Å, 117.36 117.36 80.56°
Atoms (fractional coordinates):
Na 0.000 0.239 0.785
Na 0.000 0.500 0.500
Na 0.000 0.761 0.215
Na 0.096 0.677 0.927
Na 0.108 0.892 0.750
Na 0.183 0.241 0.607
Na 0.220 0.530 0.346
Na 0.239 0.000 0.285
Na 0.241 0.183 0.107
Na 0.323 0.904 0.573
Na 0.334 0.433 0.049
Na 0.433 0.334 0.549
Na 0.470 0.780 0.154
Na 0.500 0.000 0.000
Na 0.530 0.220 0.846
Na 0.567 0.666 0.451
Na 0.666 0.567 0.951
Na 0.677 0.096 0.427
Na 0.759 0.817 0.893
Na 0.761 0.000 0.715
Na 0.780 0.470 0.654
Na 0.817 0.759 0.393
Na 0.892 0.108 0.250
Na 0.904 0.323 0.073
Ge 0.132 0.279 0.335
Ge 0.279 0.132 0.835
Ge 0.287 0.713 0.250
Ge 0.713 0.287 0.750
Ge 0.721 0.868 0.165
Ge 0.868 0.721 0.665

---

Entry 12:
DFT (PBE) results for an optimized crystal structure of Na2Ge.

Values from the calculation:
* theoretical density: 2.698 Mg/m³
* energy relative to the lowest polymorph listed for this composition: 8.9 kJ/mol of atoms
* density of states at the Fermi level: 1.295 states/eV per cell

Cell: 5.831 5.831 5.831 Å, 142.50 142.50 54.08°
Atoms (fractional coordinates):
Na 0.155 0.155 0.000
Na 0.845 0.845 0.000
Ge 0.500 0.500 0.000

---

Entry 13:
DFT (PBE) results for an optimized crystal structure of NaGe2.

Values from the calculation:
* theoretical density: 4.146 Mg/m³
* energy relative to the lowest polymorph listed for this composition: 1.3 kJ/mol of atoms
* density of states at the Fermi level: 1.467 states/eV per cell

Cell: 4.095 5.709 6.605 Å, 73.81 72.28 68.99°
Atoms (fractional coordinates):
Na 0.065 0.210 0.155
Na 0.935 0.790 0.845
Ge 0.310 0.644 0.241
Ge 0.355 0.231 0.549
Ge 0.645 0.769 0.451
Ge 0.690 0.356 0.759

---

Entry 14:
DFT (PBE) results for an optimized crystal structure of Na4Ge.

Values from the calculation:
* theoretical density: 1.487 Mg/m³
* energy relative to the lowest polymorph listed for this composition: 12.0 kJ/mol of atoms
* density of states at the Fermi level: 3.091 states/eV per cell

Cell: 5.686 5.686 5.686 Å, 90.00 90.00 90.00°
Atoms (fractional coordinates):
Na 0.000 0.000 0.000
Na 0.000 0.500 0.500
Na 0.500 0.000 0.500
Na 0.500 0.500 0.000
Ge 0.500 0.500 0.500

---

Entry 15:
DFT (PBE) results for an optimized crystal structure of NaGe2.

Values from the calculation:
* theoretical density: 3.966 Mg/m³
* energy relative to the lowest polymorph listed for this composition: 4.9 kJ/mol of atoms
* density of states at the Fermi level: 0.868 states/eV per cell

Cell: 3.977 6.365 6.390 Å, 113.53 100.25 99.45°
Atoms (fractional coordinates):
Na 0.246 0.142 0.358
Na 0.754 0.858 0.642
Ge 0.064 0.551 0.235
Ge 0.442 0.265 0.952
Ge 0.558 0.735 0.048
Ge 0.936 0.449 0.765

---

Entry 16:
DFT (PBE) results for an optimized crystal structure of Na2Ge.

Values from the calculation:
* theoretical density: 2.383 Mg/m³
* energy relative to the lowest polymorph listed for this composition: 0.0 kJ/mol of atoms
* density of states at the Fermi level: 1.722 states/eV per cell

Cell: 5.818 5.818 8.119 Å, 106.54 106.54 39.12°
Atoms (fractional coordinates):
Na 0.017 0.017 0.196
Na 0.332 0.332 0.373
Na 0.668 0.668 0.627
Na 0.983 0.983 0.804
Ge 0.296 0.296 0.941
Ge 0.704 0.704 0.059

---

Entry 17:
DFT (PBE) results for an optimized crystal structure of NaGe2.

Values from the calculation:
* theoretical density: 3.811 Mg/m³
* energy relative to the lowest polymorph listed for this composition: 0.5 kJ/mol of atoms
* density of states at the Fermi level: 1.516 states/eV per cell

Cell: 5.487 5.487 7.082 Å, 98.92 98.92 44.24°
Atoms (fractional coordinates):
Na 0.125 0.125 0.332
Na 0.875 0.875 0.668
Ge 0.173 0.173 0.768
Ge 0.382 0.382 0.045
Ge 0.618 0.618 0.955
Ge 0.827 0.827 0.232

---

Entry 18:
DFT (PBE) results for an optimized crystal structure of NaGe2.

Values from the calculation:
* theoretical density: 4.412 Mg/m³
* energy relative to the lowest polymorph listed for this composition: 12.3 kJ/mol of atoms
* density of states at the Fermi level: 1.019 states/eV per cell

Cell: 3.132 3.073 6.759 Å, 90.00 103.21 90.00°
Atoms (fractional coordinates):
Na 0.000 0.000 0.000
Ge 0.328 0.500 0.658
Ge 0.672 0.500 0.342

---

Entry 19:
DFT (PBE) results for an optimized crystal structure of NaGe4.

Values from the calculation:
* DFT total energy: -2.897 eV per atom
* theoretical density: 4.127 Mg/m³
* density of states at the Fermi level: 3.002 states/eV per cell

Cell: 5.015 5.015 5.015 Å, 90.00 90.00 90.00°
Atoms (fractional coordinates):
Na 0.000 0.000 0.000
Ge 0.000 0.000 0.500
Ge 0.000 0.500 0.000
Ge 0.500 0.000 0.000
Ge 0.500 0.500 0.500

---

Entry 20:
DFT (PBE) results for an optimized crystal structure of NaNbGe.

Values from the calculation:
* DFT total energy: -5.361 eV per atom
* theoretical density: 4.885 Mg/m³
* density of states at the Fermi level: 4.229 states/eV per cell

Cell: 3.594 4.416 8.075 Å, 90.00 90.00 90.00°
Atoms (fractional coordinates):
Na 0.250 0.250 0.123
Na 0.750 0.750 0.877
Nb 0.250 0.750 0.535
Nb 0.750 0.250 0.465
Ge 0.250 0.250 0.727
Ge 0.750 0.750 0.273